Material: CrInO4F
Method: DFT, GGA+U
State: optimized geometry

a = 5.624 Å, b = 5.624 Å, c = 8.481 Å
α = 67.81°, β = 67.81°, γ = 76.96°
Sites, in units of the cell vectors:
Cr  0.357  0.357  0.309
Cr  0.643  0.643  0.691
F  0.102  0.102  0.072
F  0.898  0.898  0.928
O  0.207  0.207  0.526
O  0.448  0.448  0.707
O  0.552  0.552  0.293
O  0.523  0.138  0.209
O  0.862  0.477  0.791
O  0.138  0.523  0.209
O  0.477  0.862  0.791
O  0.793  0.793  0.474
In  0.824  0.824  0.206
In  0.176  0.176  0.794

Values from the calculation:
energy = -84.8 eV/cell